(1)
First-principles (PBE-GGA) data for NbZnInRh after structural relaxation, as listed in Alexandria.

Energy relative to the elements, meV per atom: -150

```
data_NbZnInRh
_symmetry_space_group_name_H-M 'F -4 3 m'
_symmetry_Int_Tables_number 216
_symmetry_space_group_name_Hall 'F -4 2 3'
_cell_length_a 6.4572
_cell_length_b 6.4572
_cell_length_c 6.4572
_cell_angle_alpha 90.00
_cell_angle_beta 90.00
_cell_angle_gamma 90.00
loop_
_atom_site_label
_atom_site_type_symbol
_atom_site_fract_x
_atom_site_fract_y
_atom_site_fract_z
_atom_site_occupancy
Nb1 Nb 0.0000 0.0000 0.0000 1
Zn1 Zn 0.2500 0.2500 0.2500 1
In1 In 0.0000 0.0000 0.5000 1
Rh1 Rh 0.2500 0.2500 0.7500 1
```

(2)
First-principles (PBE-GGA) data for Nb12In3Ru after structural relaxation, as listed in Alexandria.

Energy relative to the elements, meV per atom: -60

```
data_Nb12In3Ru
_symmetry_space_group_name_H-M 'P m m m'
_symmetry_Int_Tables_number 47
_symmetry_space_group_name_Hall '-P 2 2'
_cell_length_a 5.2890
_cell_length_b 5.2913
_cell_length_c 10.5984
_cell_angle_alpha 90.00
_cell_angle_beta 90.00
_cell_angle_gamma 90.00
loop_
_atom_site_label
_atom_site_type_symbol
_atom_site_fract_x
_atom_site_fract_y
_atom_site_fract_z
_atom_site_occupancy
Nb1 Nb 0.0000 0.0000 0.1178 1
Nb2 Nb 0.0000 0.0000 0.3709 1
Nb3 Nb 0.2458 0.5000 0.5000 1
Nb4 Nb 0.2571 0.5000 0.0000 1
Nb5 Nb 0.5000 0.2437 0.2402 1
In1 In 0.0000 0.5000 0.2505 1
In2 In 0.5000 0.0000 0.5000 1
Ru1 Ru 0.5000 0.0000 0.0000 1
```

(3)
First-principles (PBE-GGA) data for Nb2InRu after structural relaxation, as listed in Alexandria.

Energy relative to the elements, meV per atom: 410

```
data_Nb2InRu
_symmetry_space_group_name_H-M 'R -3 m'
_symmetry_Int_Tables_number 166
_symmetry_space_group_name_Hall '-R 3 2"'
_cell_length_a 3.8693
_cell_length_b 3.8693
_cell_length_c 19.4224
_cell_angle_alpha 90.00
_cell_angle_beta 90.00
_cell_angle_gamma 120.00
loop_
_atom_site_label
_atom_site_type_symbol
_atom_site_fract_x
_atom_site_fract_y
_atom_site_fract_z
_atom_site_occupancy
Nb1 Nb 0.0000 0.0000 0.2293 1
In1 In 0.0000 0.0000 0.0000 1
Ru1 Ru 0.0000 0.0000 0.5000 1
```

(4)
First-principles (PBE-GGA) data for Nb2In2Ru after structural relaxation, as listed in Alexandria.

E above lowest polymorph, eV/atom: 0.000
Energy relative to the elements, meV per atom: 334

```
data_Nb2In2Ru
_symmetry_space_group_name_H-M 'P 4/m b m'
_symmetry_Int_Tables_number 127
_symmetry_space_group_name_Hall '-P 4 2ab'
_cell_length_a 6.5911
_cell_length_b 6.5911
_cell_length_c 4.7610
_cell_angle_alpha 90.00
_cell_angle_beta 90.00
_cell_angle_gamma 90.00
loop_
_atom_site_label
_atom_site_type_symbol
_atom_site_fract_x
_atom_site_fract_y
_atom_site_fract_z
_atom_site_occupancy
Nb1 Nb 0.1467 0.3533 0.0000 1
In1 In 0.1668 0.6668 0.5000 1
Ru1 Ru 0.0000 0.0000 0.0000 1
```

(5)
First-principles (PBE-GGA) data for Nb2InRu after structural relaxation, as listed in Alexandria.

Energy relative to the elements, meV per atom: 333

```
data_Nb2InRu
_symmetry_space_group_name_H-M 'I -4 2 d'
_symmetry_Int_Tables_number 122
_symmetry_space_group_name_Hall 'I -4 2bw'
_cell_length_a 7.5939
_cell_length_b 7.5939
_cell_length_c 5.4774
_cell_angle_alpha 90.00
_cell_angle_beta 90.00
_cell_angle_gamma 90.00
loop_
_atom_site_label
_atom_site_type_symbol
_atom_site_fract_x
_atom_site_fract_y
_atom_site_fract_z
_atom_site_occupancy
Nb1 Nb 0.1982 0.2500 0.1250 1
In1 In 0.0000 0.0000 0.5000 1
Ru1 Ru 0.0000 0.0000 0.0000 1
```

(6)
First-principles (PBE-GGA) data for NbInRu2 after structural relaxation, as listed in Alexandria.

Energy relative to the elements, meV per atom: 436

```
data_NbInRu2
_symmetry_space_group_name_H-M 'I -4 2 d'
_symmetry_Int_Tables_number 122
_symmetry_space_group_name_Hall 'I -4 2bw'
_cell_length_a 7.1067
_cell_length_b 7.1067
_cell_length_c 5.8365
_cell_angle_alpha 90.00
_cell_angle_beta 90.00
_cell_angle_gamma 90.00
loop_
_atom_site_label
_atom_site_type_symbol
_atom_site_fract_x
_atom_site_fract_y
_atom_site_fract_z
_atom_site_occupancy
Nb1 Nb 0.0000 0.0000 0.0000 1
In1 In 0.0000 0.0000 0.5000 1
Ru1 Ru 0.2175 0.7500 0.1250 1
```

(7)
First-principles (PBE-GGA) data for NbInRu3 after structural relaxation, as listed in Alexandria.

E above lowest polymorph, eV/atom: 0.000
Energy relative to the elements, meV per atom: 1304

```
data_NbInRu3
_symmetry_space_group_name_H-M 'P m -3 m'
_symmetry_Int_Tables_number 221
_symmetry_space_group_name_Hall '-P 4 2 3'
_cell_length_a 4.7214
_cell_length_b 4.7214
_cell_length_c 4.7214
_cell_angle_alpha 90.00
_cell_angle_beta 90.00
_cell_angle_gamma 90.00
loop_
_atom_site_label
_atom_site_type_symbol
_atom_site_fract_x
_atom_site_fract_y
_atom_site_fract_z
_atom_site_occupancy
Nb1 Nb 0.0000 0.0000 0.0000 1
In1 In 0.5000 0.5000 0.5000 1
Ru1 Ru 0.0000 0.0000 0.5000 1
```

(8)
First-principles (PBE-GGA) data for Nb3InRu4 after structural relaxation, as listed in Alexandria.

Energy relative to the elements, meV per atom: -230

```
data_Nb3InRu4
_symmetry_space_group_name_H-M 'R -3 m'
_symmetry_Int_Tables_number 166
_symmetry_space_group_name_Hall '-R 3 2"'
_cell_length_a 4.5064
_cell_length_b 4.5064
_cell_length_c 22.1825
_cell_angle_alpha 90.00
_cell_angle_beta 90.00
_cell_angle_gamma 120.00
loop_
_atom_site_label
_atom_site_type_symbol
_atom_site_fract_x
_atom_site_fract_y
_atom_site_fract_z
_atom_site_occupancy
Nb1 Nb 0.0000 0.0000 0.0000 1
Nb2 Nb 0.0000 0.0000 0.2487 1
In1 In 0.0000 0.0000 0.5000 1
Ru1 Ru 0.0000 0.0000 0.1206 1
Ru2 Ru 0.0000 0.0000 0.3710 1
```

(9)
First-principles (PBE-GGA) data for Nb2In2Ru after structural relaxation, as listed in Alexandria.

E above lowest polymorph, eV/atom: 0.403
Energy relative to the elements, meV per atom: 737

```
data_Nb2In2Ru
_symmetry_space_group_name_H-M 'I 4/m m m'
_symmetry_Int_Tables_number 139
_symmetry_space_group_name_Hall '-I 4 2'
_cell_length_a 3.7904
_cell_length_b 3.7904
_cell_length_c 14.4027
_cell_angle_alpha 90.00
_cell_angle_beta 90.00
_cell_angle_gamma 90.00
loop_
_atom_site_label
_atom_site_type_symbol
_atom_site_fract_x
_atom_site_fract_y
_atom_site_fract_z
_atom_site_occupancy
Nb1 Nb 0.0000 0.0000 0.0847 1
In1 In 0.0000 0.5000 0.2500 1
Ru1 Ru 0.0000 0.0000 0.5000 1
```

(10)
First-principles (PBE-GGA) data for NbInRu3 after structural relaxation, as listed in Alexandria.

E above lowest polymorph, eV/atom: 0.651
Energy relative to the elements, meV per atom: 1955

```
data_NbInRu3
_symmetry_space_group_name_H-M 'P m -3 m'
_symmetry_Int_Tables_number 221
_symmetry_space_group_name_Hall '-P 4 2 3'
_cell_length_a 4.7240
_cell_length_b 4.7240
_cell_length_c 4.7240
_cell_angle_alpha 90.00
_cell_angle_beta 90.00
_cell_angle_gamma 90.00
loop_
_atom_site_label
_atom_site_type_symbol
_atom_site_fract_x
_atom_site_fract_y
_atom_site_fract_z
_atom_site_occupancy
Nb1 Nb 0.0000 0.0000 0.0000 1
In1 In 0.5000 0.5000 0.5000 1
Ru1 Ru 0.0000 0.5000 0.5000 1
```

(11)
First-principles (PBE-GGA) data for NbInRu2 after structural relaxation, as listed in Alexandria.

Energy relative to the elements, meV per atom: -182

```
data_NbInRu2
_symmetry_space_group_name_H-M 'P 4/m m m'
_symmetry_Int_Tables_number 123
_symmetry_space_group_name_Hall '-P 4 2'
_cell_length_a 4.4546
_cell_length_b 4.4546
_cell_length_c 3.2875
_cell_angle_alpha 90.00
_cell_angle_beta 90.00
_cell_angle_gamma 90.00
loop_
_atom_site_label
_atom_site_type_symbol
_atom_site_fract_x
_atom_site_fract_y
_atom_site_fract_z
_atom_site_occupancy
Nb1 Nb 0.0000 0.0000 0.0000 1
In1 In 0.5000 0.5000 0.0000 1
Ru1 Ru 0.0000 0.5000 0.5000 1
```

(12)
First-principles (PBE-GGA) data for NbInRu2 after structural relaxation, as listed in Alexandria.

Energy relative to the elements, meV per atom: -239

```
data_NbInRu2
_symmetry_space_group_name_H-M 'P 4/m m m'
_symmetry_Int_Tables_number 123
_symmetry_space_group_name_Hall '-P 4 2'
_cell_length_a 3.2136
_cell_length_b 3.2136
_cell_length_c 6.3918
_cell_angle_alpha 90.00
_cell_angle_beta 90.00
_cell_angle_gamma 90.00
loop_
_atom_site_label
_atom_site_type_symbol
_atom_site_fract_x
_atom_site_fract_y
_atom_site_fract_z
_atom_site_occupancy
Nb1 Nb 0.0000 0.0000 0.0000 1
In1 In 0.0000 0.0000 0.5000 1
Ru1 Ru 0.5000 0.5000 0.2343 1
```

It is found that the ρ values, taken in the order of the records, are 9.277, 8.736, 7.946, 8.294, 8.447, 9.236, 8.061, 10.188, 8.290, 8.048, 10.433, 10.311 g/cm3.
It is found that the density of states at the Fermi level values, taken in the order of the records, are 0.83, 1.22, 0.59, 0.90, 1.03, 0.40, 1.12, 0.92, 1.06, 0.91, 0.36, 0.41 states/eV per atom.